[1]
Pu3Tl3SbSe8 | PBE-GGA | relaxed

- ΔE_f (raw) (kJ/mol of formula units) = -1362
- space-group type = R-3m, No. 166

Geometry as extended XYZ:
```
15
Lattice="4.215 2.434 7.698 -4.215 2.434 7.698 0.000 -4.867 7.698" Properties=species:S:1:pos:R:3 pbc="T T T"
Pu -2.108 -1.217 7.698
Pu -2.108 1.217 15.396
Pu 0.000 2.434 7.698
Tl -4.215 0.000 11.547
Tl -2.108 1.217 3.849
Tl 2.108 1.217 3.849
Sb 0.000 0.000 0.000
Se 0.000 -2.417 9.238
Se -2.093 1.208 9.238
Se 0.000 0.000 6.137
Se -2.093 -1.208 13.856
Se 2.093 1.208 9.238
Se 0.000 0.000 16.956
Se 2.093 -1.208 13.856
Se 0.000 2.417 13.856
```

[2]
CaLaPrSm | PBE-GGA | relaxed

- space-group type = R3m, No. 160
- ΔE_f (eV/atom) = 0.0293

Geometry as extended XYZ:
```
4
Lattice="1.859 1.074 12.357 -1.859 1.074 12.357 0.000 -2.147 12.357" Properties=species:S:1:pos:R:3 pbc="T T T"
Ca 0.000 0.000 0.000
La 0.000 0.000 9.095
Pr 0.000 0.000 27.917
Sm 0.000 0.000 18.493
```

[3]
CaLa2NdRu | PBE-GGA | relaxed

- space-group type = P4/mmm, No. 123
- ΔE_f (eV/atom) = -0.1419

Geometry as extended XYZ:
```
5
Lattice="5.593 0.000 0.000 0.000 5.593 0.000 0.000 0.000 5.719" Properties=species:S:1:pos:R:3 pbc="T T T"
Ca 0.000 0.000 0.000
La 0.000 2.797 2.860
La 2.797 0.000 2.860
Nd 2.797 2.797 0.000
Ru 2.797 2.797 2.860
```

[4]
B5C7 | PBE-GGA | relaxed

- space-group type = Pm, No. 6
- ΔE_f (eV/atom) = 0.3897

Geometry as extended XYZ:
```
12
Lattice="4.561 0.000 0.000 0.000 2.612 0.000 -0.591 0.000 6.678" Properties=species:S:1:pos:R:3 pbc="T T T"
B 0.000 0.000 0.000
B -0.332 0.000 4.817
B 1.955 1.306 0.096
B 2.985 0.000 2.763
B 3.821 1.306 0.912
C 0.548 1.306 4.428
C 0.689 1.306 2.880
C 1.531 0.000 0.816
C 1.419 0.000 2.366
C 1.896 1.306 5.229
C 2.706 0.000 5.001
C 3.768 1.306 2.428
```

[5]
MoPdPt | PBE-GGA | relaxed

- space-group type = P3m1, No. 156
- ΔE_f (eV/atom) = -0.0655

Geometry as extended XYZ:
```
3
Lattice="4.472 0.000 0.000 -2.236 3.873 0.000 0.000 0.000 2.699" Properties=species:S:1:pos:R:3 pbc="T T T"
Mo 0.000 0.000 0.000
Pd 0.000 2.582 0.009
Pt 2.236 1.291 1.352
```

[6]
Ac2Pr4NdSm | PBE-GGA | relaxed

- space-group type = P2/m, No. 10
- ΔE_f (eV/atom) = 0.0336

Geometry as extended XYZ:
```
8
Lattice="6.551 0.000 0.000 0.000 3.789 0.000 -2.235 0.000 12.246" Properties=species:S:1:pos:R:3 pbc="T T T"
Ac 0.000 0.000 0.000
Ac 3.276 1.894 0.000
Pr -0.040 0.000 9.092
Pr 1.076 1.894 3.148
Pr 3.239 1.894 9.097
Pr 4.356 0.000 3.154
Nd 2.158 0.000 6.123
Sm -1.118 1.894 6.123
```

[7]
RbEr4 | PBE-GGA | relaxed

- space-group type = Pm-3m, No. 221
- ΔE_f (eV/atom) = 1.1740

Geometry as extended XYZ:
```
5
Lattice="5.510 0.000 0.000 0.000 5.510 0.000 0.000 0.000 5.510" Properties=species:S:1:pos:R:3 pbc="T T T"
Rb 0.000 0.000 0.000
Er 0.000 0.000 2.755
Er 0.000 2.755 0.000
Er 2.755 0.000 0.000
Er 2.755 2.755 2.755
```

[8]
Sb2PtSe | PBE-GGA | relaxed

- ΔE_f (raw) (kJ/mol of formula units) = 28
- space-group type = P4mm, No. 99

Geometry as extended XYZ:
```
4
Lattice="3.524 0.000 0.000 0.000 3.524 0.000 0.000 0.000 8.068" Properties=species:S:1:pos:R:3 pbc="T T T"
Sb 0.000 0.000 0.000
Sb 1.762 1.762 3.010
Pt 1.762 1.762 6.956
Se 0.000 0.000 4.364
```

[9]
PBr2 | PBE-GGA | relaxed

- ΔE_f (raw) (kJ/mol of formula units) = 169
- space-group type = I4_1/amd, No. 141

Geometry as extended XYZ:
```
6
Lattice="-1.658 1.658 14.904 1.658 -1.658 14.904 1.658 1.658 -14.904" Properties=species:S:1:pos:R:3 pbc="T T T"
P 1.658 0.829 3.726
P 0.000 0.829 11.178
Br 1.658 -0.829 9.483
Br 1.658 -0.829 12.872
Br 0.000 2.487 2.031
Br 0.000 2.487 5.420
```

[10]
Ti2Ge | PBE-GGA | relaxed

- space-group type = Fm-3m, No. 225
- ΔE_f (eV/atom) = -0.2763

Geometry as extended XYZ:
```
3
Lattice="0.000 3.022 3.022 3.022 0.000 3.022 3.022 3.022 0.000" Properties=species:S:1:pos:R:3 pbc="T T T"
Ti 1.511 1.511 1.511
Ti 4.533 4.533 4.533
Ge 0.000 0.000 0.000
```

[11]
MgCo2Tc | PBE-GGA | relaxed

- space-group type = Cm, No. 8
- ΔE_f (eV/atom) = 0.1477

Geometry as extended XYZ:
```
4
Lattice="4.570 -1.326 0.000 4.570 1.326 0.000 -1.269 0.000 4.300" Properties=species:S:1:pos:R:3 pbc="T T T"
Mg 0.000 0.000 0.000
Co 1.140 0.000 3.593
Co 4.175 0.000 2.188
Tc 6.706 0.000 1.558
```

[12]
Cs2BeF4 | PBE-GGA | relaxed

- ΔE_f (raw) (kJ/mol of formula units) = -2066
- space-group type = P2_1/m, No. 11

Geometry as extended XYZ:
```
14
Lattice="6.281 0.000 0.000 0.000 6.123 0.000 -1.784 0.000 8.402" Properties=species:S:1:pos:R:3 pbc="T T T"
Cs 1.346 1.531 0.230
Cs 0.758 1.531 4.523
Cs 3.740 4.592 3.879
Cs 3.151 4.592 8.172
Be -0.090 4.592 6.509
Be 4.588 1.531 1.894
F -0.945 3.319 6.148
F -0.945 5.866 6.148
F 0.173 4.592 8.060
F 1.262 4.592 5.699
F 3.235 1.531 2.703
F 4.324 1.531 0.343
F 5.442 0.257 2.254
F 5.442 2.805 2.254
```

[13]
La2GaIr | PBE-GGA | relaxed

- space-group type = R-3m, No. 166
- ΔE_f (eV/atom) = -0.2604

Geometry as extended XYZ:
```
4
Lattice="2.078 1.200 9.635 -2.078 1.200 9.635 0.000 -2.399 9.635" Properties=species:S:1:pos:R:3 pbc="T T T"
La 0.000 0.000 3.261
La 0.000 0.000 25.643
Ga 0.000 0.000 0.000
Ir 0.000 0.000 14.452
```

[14]
Sm6DyHo2Er3 | PBE-GGA | relaxed

- space-group type = C2/m, No. 12
- ΔE_f (eV/atom) = 0.0147

Geometry as extended XYZ:
```
12
Lattice="3.100 -5.366 0.000 3.100 5.366 0.000 -2.058 0.000 11.584" Properties=species:S:1:pos:R:3 pbc="T T T"
Sm 0.009 1.789 8.696
Sm 1.034 0.000 2.887
Sm 0.009 -1.789 8.696
Sm 4.132 1.789 2.889
Sm 3.108 0.000 8.697
Sm 4.132 -1.789 2.889
Dy -1.029 0.000 5.792
Ho 2.071 1.788 5.792
Ho 2.071 -1.788 5.792
Er 3.100 3.576 0.000
Er 3.100 0.000 0.000
Er 3.100 -3.576 0.000
```

[15]
TaIn2W | PBE-GGA | relaxed

- space-group type = I4/mmm, No. 139
- ΔE_f (eV/atom) = 0.5053

Geometry as extended XYZ:
```
4
Lattice="-2.049 2.049 4.552 2.049 -2.049 4.552 2.049 2.049 -4.552" Properties=species:S:1:pos:R:3 pbc="T T T"
Ta 0.000 0.000 0.000
In 2.049 0.000 2.276
In 0.000 2.049 2.276
W 0.000 0.000 4.552
```

[16]
Sc2ZnMoC | PBE-GGA | relaxed

- space-group type = P4/mmm, No. 123
- ΔE_f (eV/atom) = -0.2710

Geometry as extended XYZ:
```
5
Lattice="4.477 0.000 0.000 0.000 4.477 0.000 0.000 0.000 4.143" Properties=species:S:1:pos:R:3 pbc="T T T"
Sc 0.000 2.238 0.000
Sc 2.238 0.000 0.000
Zn 0.000 0.000 2.072
Mo 2.238 2.238 2.072
C 2.238 2.238 0.000
```

[17]
Y2ZrTlC | PBE-GGA | relaxed

- space-group type = P4/mmm, No. 123
- ΔE_f (eV/atom) = -0.4418

Geometry as extended XYZ:
```
5
Lattice="4.899 0.000 0.000 0.000 4.899 0.000 0.000 0.000 4.641" Properties=species:S:1:pos:R:3 pbc="T T T"
Y 0.000 2.450 0.000
Y 2.450 0.000 0.000
Zr 0.000 0.000 2.320
Tl 2.450 2.450 2.320
C 0.000 0.000 0.000
```

[18]
ZrGaRh2 | PBE-GGA | relaxed

- space-group type = Immm, No. 71
- ΔE_f (eV/atom) = -0.0329

Geometry as extended XYZ:
```
4
Lattice="-1.416 2.437 5.016 1.416 -2.437 5.016 1.416 2.437 -5.016" Properties=species:S:1:pos:R:3 pbc="T T T"
Zr 0.000 0.000 0.000
Ga 0.000 0.000 5.016
Rh 0.000 0.000 2.583
Rh 0.000 0.000 7.449
```

[19]
Cr2IrRh6 | PBE-GGA | relaxed

- space-group type = C2/m, No. 12
- ΔE_f (eV/atom) = -0.0913

Geometry as extended XYZ:
```
9
Lattice="5.730 -1.887 0.000 5.730 1.887 0.000 -1.902 0.000 5.747" Properties=species:S:1:pos:R:3 pbc="T T T"
Cr 0.021 0.000 1.884
Cr 9.537 0.000 3.863
Ir 5.730 0.000 0.000
Rh 1.866 0.000 0.014
Rh 1.972 0.000 3.821
Rh 3.865 0.000 1.944
Rh 5.693 0.000 3.803
Rh 7.586 0.000 1.926
Rh 7.691 0.000 5.733
```

[20]
Ce2GaRh | PBE-GGA | relaxed

- space-group type = P4/mmm, No. 123
- ΔE_f (eV/atom) = -0.5708

Geometry as extended XYZ:
```
4
Lattice="4.439 0.000 0.000 0.000 4.439 0.000 0.000 0.000 4.244" Properties=species:S:1:pos:R:3 pbc="T T T"
Ce 0.000 2.220 0.000
Ce 2.220 0.000 0.000
Ga 0.000 0.000 2.122
Rh 2.220 2.220 2.122
```

[21]
Li2TiCuH | PBE-GGA | relaxed

- space-group type = P4/mmm, No. 123
- total energy (Ha/atom) = -0.14098

Geometry as extended XYZ:
```
5
Lattice="3.677 0.000 0.000 0.000 3.677 0.000 0.000 0.000 4.382" Properties=species:S:1:pos:R:3 pbc="T T T"
Li 0.000 1.838 0.000
Li 1.838 0.000 0.000
Ti 0.000 0.000 2.191
Cu 1.838 1.838 2.191
H 0.000 0.000 0.000
```

[22]
SmH2OsO6 | PBE-GGA | relaxed

- space-group type = P1, No. 1
- total energy (Ha/atom) = -0.25017

Geometry as extended XYZ:
```
10
Lattice="5.169 0.000 0.000 2.366 4.648 0.000 2.478 1.555 5.068" Properties=species:S:1:pos:R:3 pbc="T T T"
Sm 0.000 0.000 0.000
H 2.805 2.223 1.516
H 8.327 4.347 3.498
Os 5.124 3.009 2.493
O 4.114 4.490 3.654
O 3.370 2.995 1.293
O 4.141 1.876 3.516
O 5.541 4.368 1.376
O 6.541 3.113 3.641
O 5.851 1.694 1.441
```

[23]
BaCu2As2O8 | PBE-GGA | relaxed

- ΔE_f (raw) (kJ/mol of formula units) = -1698
- space-group type = P2_1/c, No. 14

Geometry as extended XYZ:
```
26
Lattice="4.760 0.000 0.000 0.000 8.879 0.000 -4.382 0.000 9.048" Properties=species:S:1:pos:R:3 pbc="T T T"
Ba 0.000 0.000 0.000
Ba -2.191 4.439 4.524
Cu -2.359 0.735 5.903
Cu -0.168 3.704 1.379
Cu 0.547 5.174 7.669
Cu 2.738 8.144 3.145
As -0.073 1.636 3.817
As -2.264 2.804 8.341
As 2.643 6.075 0.707
As 0.452 7.243 5.231
O -0.838 0.746 2.541
O -3.028 3.694 7.065
O 1.145 5.309 0.338
O -1.046 8.009 4.862
O -1.038 2.005 5.211
O 1.153 2.434 0.687
O -1.939 1.172 7.797
O 0.252 3.267 3.273
O 0.127 5.612 5.775
O 2.318 7.706 1.251
O -0.774 6.445 8.361
O 1.417 6.873 3.837
O 1.425 0.869 4.186
O -0.766 3.570 8.710
O 3.407 5.185 1.984
O 1.216 8.133 6.508
```

[24]
CdB3Pb | PBE-GGA | relaxed

- space-group type = Pm-3m, No. 221
- ΔE_f (eV/atom) = 2.0830

Geometry as extended XYZ:
```
5
Lattice="4.502 0.000 0.000 0.000 4.502 0.000 0.000 0.000 4.502" Properties=species:S:1:pos:R:3 pbc="T T T"
Cd 0.000 0.000 0.000
B 0.000 0.000 2.251
B 0.000 2.251 0.000
B 2.251 0.000 0.000
Pb 2.251 2.251 2.251
```

[25]
CrB3S | PBE-GGA | relaxed

- ΔE_f (raw) (kJ/mol of formula units) = 835
- space-group type = Pm-3m, No. 221

Geometry as extended XYZ:
```
5
Lattice="3.996 0.000 0.000 0.000 3.996 0.000 0.000 0.000 3.996" Properties=species:S:1:pos:R:3 pbc="T T T"
Cr 0.000 0.000 0.000
B 0.000 0.000 1.998
B 0.000 1.998 0.000
B 1.998 0.000 0.000
S 1.998 1.998 1.998
```